Li3MgIr | SCAN | PBEsol geometry

Cell: 4.5914 4.5914 4.5914 Å, 90.00 90.00 90.00°
Element x y z (fractional)
Li  0.0000  0.0000  0.5000
Li  0.0000  0.5000  0.0000
Li  0.5000  0.0000  0.0000
Mg  0.5000  0.5000  0.5000
Ir  0.0000  0.0000  0.0000

Values from the calculation:
DOS(E_F) ... 1.71 states/eV/cell
Space-group type ... Pm-3m
Energy relative to the lowest polymorph listed for this composition ... 0.0 meV/atom
Total magnetization ... 0.00 μB per atom
Formation enthalpy at 0 K ... 0.3327 eV/atom
Uncorrected energy ... -81.579 eV per cell